(1)
{
  "formula": "Ni2Ag2Au",
  "functional": "GGA-PBE",
  "state": "optimized geometry",
  "dft_energy_ev_per_atom": -3.80,
  "de_polymorph_mev_per_atom": 0,
  "lattice": [[7.3300, 0.0000, 0.0000], [0.0000, 7.3300, 0.0000], [0.0000, 0.0000, 2.8856]],
  "species": ["Ni", "Ni", "Ni", "Ni", "Ag", "Ag", "Ag", "Ag", "Au", "Au"],
  "frac_coords": [[0.1163, 0.3837, 0.0000], [0.3837, 0.8837, 0.0000], [0.6163, 0.1163, 0.0000], [0.8837, 0.6163, 0.0000], [0.1784, 0.6784, 0.5000], [0.3216, 0.1784, 0.5000], [0.6784, 0.8216, 0.5000], [0.8216, 0.3216, 0.5000], [0.0000, 0.0000, 0.0000], [0.5000, 0.5000, 0.0000]]
}

(2)
{
  "formula": "NiAg2Au",
  "functional": "GGA-PBE",
  "state": "optimized geometry",
  "dft_energy_ev_per_atom": -3.52,
  "de_polymorph_mev_per_atom": 73,
  "lattice": [[1.4207, 0.8203, 9.3226], [-1.4207, 0.8203, 9.3226], [0.0000, -1.6405, 9.3226]],
  "species": ["Ni", "Ag", "Ag", "Au"],
  "frac_coords": [[0.0000, 0.0000, 0.0000], [0.2567, 0.2567, 0.2567], [0.7433, 0.7433, 0.7433], [0.5000, 0.5000, 0.5000]]
}

(3)
{
  "formula": "NiAg4Au",
  "functional": "GGA-PBE",
  "state": "optimized geometry",
  "dft_energy_ev_per_atom": -3.01,
  "lattice": [[0.0000, 3.7983, 3.7983], [3.7983, 0.0000, 3.7983], [3.7983, 3.7983, 0.0000]],
  "species": ["Ni", "Ag", "Ag", "Ag", "Ag", "Au"],
  "frac_coords": [[0.0000, 0.0000, 0.0000], [0.3748, 0.3748, 0.3748], [0.3748, 0.3748, 0.8755], [0.3748, 0.8755, 0.3748], [0.8755, 0.3748, 0.3748], [0.7500, 0.7500, 0.7500]]
}

no.,density (Mg/m³)
1,11.4
2,12.0
3,10.4